(1)
Material: Hf4Bi5H2
Method: DFT, PBE
State: optimized geometry

Cell: 3.3332 8.9865 8.6231 Å, 94.55 101.14 90.00°
Closest atoms and distances in Å follow each position.
Atoms (fractional coordinates):
Bi 0.8127 0.7128 0.6253  4 Hf 3.01-3.14, 2 Bi 3.33
H 0.4515 0.3225 0.9030  3 Hf 1.93-1.96
Bi 0.8416 0.1261 0.6832  2 H 2.97, 3 Hf 3.25-3.30
H 0.5485 0.6775 0.0970  3 Hf 1.93-1.96
Bi 0.5000 0.0000 0.0000  2 H 3.08, 6 Bi 3.33-3.43, 4 Hf 3.39
Bi 0.1584 0.8739 0.3168  2 H 2.97, 3 Hf 3.25-3.30
Bi 0.1873 0.2872 0.3747  4 Hf 3.01-3.14, 2 Bi 3.33
Hf 0.0127 0.3293 0.0254  2 H 1.96
Hf 0.6401 0.5620 0.2802  1 H 1.93
Hf 0.3599 0.4380 0.7198  1 H 1.93
Hf 0.9873 0.6707 0.9746  2 H 1.96

Calculated values
Calculated total energy, Ry per atom: -0.44729
Crystal system: monoclinic

***

(2)
Material: VTc3Cl
Method: DFT, PBE
State: optimized geometry

Cell: 4.5741 4.5741 4.5741 Å, 90.00 90.00 90.00°
Closest atoms and distances in Å follow each position.
Atoms (fractional coordinates):
Tc 0.5000 0.0000 0.0000  2 V 2.29
Cl 0.5000 0.5000 0.5000  12 Tc 3.23
V 0.0000 0.0000 0.0000  6 Tc 2.29
Tc 0.0000 0.0000 0.5000  2 V 2.29
Tc 0.0000 0.5000 0.0000  2 V 2.29

Calculated values
Relative energy among the computed polymorphs, meV per atom: 553
Crystal system: cubic
E_form (uncorrected), eV per atom: 1.6360